The following is a DFT calculation (PBE) of crystalline Pr8Ni2Ir at its relaxed geometry.

The total moment is 0.0 μB per formula unit. The calculation puts the mass density at 7.6 g cm⁻³. The calculation puts the energy relative to the lowest polymorph listed for this composition at 0 meV per atom.

The structure belongs to space group C2/m (No. 12); the cell edges are 18.011, 5.186 and 6.803 Å and the angles 90.00°, 100.67° and 90.00°. The inequivalent atoms are Pr at (0.041, 0.000, 0.290), Pr at (0.086, 0.500, 0.931), Pr at (0.170, 0.500, 0.468), Pr at (0.200, 0.000, 0.842), Ni at (0.197, 0.000, 0.244) and Ir at (0.000, 0.500, 0.500).


The following is a DFT calculation (PBE) of crystalline LiLaEuCu at its relaxed geometry.

The total moment is 7.1 μB per formula unit. The calculation puts the mass density at 5.7 g cm⁻³. Its total energy is -5.29 eV/atom.

The structure belongs to space group F-43m (No. 216); the cell edges are 7.492, 7.492 and 7.492 Å and the angles 90.00°, 90.00° and 90.00°. The inequivalent atoms are Li at (0.000, 0.000, 0.000), La at (0.250, 0.250, 0.250), Eu at (0.250, 0.250, 0.750) and Cu at (0.000, 0.000, 0.500).


The following is a DFT calculation (PBE) of crystalline MgPt2Se at its relaxed geometry.

For the formation energy from raw total energies, the calculation gives -202 meV/atom. The total moment is 0.0 μB per formula unit. The calculation puts the mass density at 11.9 g cm⁻³. The calculation puts the energy relative to the lowest polymorph listed for this composition at 142 meV per atom.

The structure belongs to space group P4mm (No. 99); the cell edges are 3.031, 3.031 and 7.515 Å and the angles 90.00°, 90.00° and 90.00°. The inequivalent atoms are Mg at (0.000, 0.000, 0.000), Pt at (0.000, 0.000, 0.473), Pt at (0.500, 0.500, 0.219) and Se at (0.500, 0.500, 0.703).


The following is a DFT calculation (PBE) of crystalline LiEu2Pa at its relaxed geometry.

The total moment is 14.5 μB per formula unit. The calculation puts the mass density at 7.8 g cm⁻³. Its total energy is -7.59 eV/atom.

The structure belongs to space group R-3m (No. 166, hexagonal axes); the cell edges are 3.2964, 3.2964 and 37.0074 Å and the angles 90.00°, 90.00° and 120.00°. The inequivalent atoms are Li at (0.0000, 0.0000, 0.0000), Eu at (0.0000, 0.0000, 0.4129) and Pa at (0.0000, 0.0000, 0.5000).


Q: Number 3 is which compound?
A: MgPt2Se


Q: The lowest mass density belongs to which entry?
A: LiLaEuCu


Q: Number 3 is which compound?
A: MgPt2Se


Q: What is the formula in the fourth record?
A: LiEu2Pa